1.
! BPt5 PBE relaxed; values from VASP
&SYSTEM
  ibrav = 0, nat = 6, ntyp = 2
/
ATOMIC_SPECIES
Pt 195.08 Pt.upf
B 10.81 B.upf
CELL_PARAMETERS angstrom
-2.3196 2.9377 -2.7665
-2.1933 -1.6842 0.0505
-1.4090 4.2776 5.7237
ATOMIC_POSITIONS crystal
Pt 0.5000 0.1705 0.3410
Pt 0.5000 0.8295 0.6590
B 0.0000 0.0000 0.0000
Pt 0.5000 0.5000 0.0000
Pt 0.0000 0.3866 0.7732
Pt 0.0000 0.6134 0.2268
! * calculated volume: 92.1 Å³/f.u.
! * N(E_F): 6.44 states/eV/f.u.
! * distance to the lowest polymorph of the same formula: 0.0299 eV per atom
! * symmetry: No. 65


2.
! K2PmHoTe4 PBE relaxed; values from VASP
&SYSTEM
  ibrav = 0, nat = 8, ntyp = 4
/
ATOMIC_SPECIES
K 39.10 K.upf
Te 127.60 Te.upf
Pm 145.00 Pm.upf
Ho 164.93 Ho.upf
CELL_PARAMETERS angstrom
4.5366 0.0000 0.0000
0.0000 7.8576 0.1354
0.0000 -2.7574 8.2027
ATOMIC_POSITIONS crystal
K 0.0000 0.5000 0.5000
K 0.5000 0.0000 0.5000
Te 0.5000 0.7699 0.7911
Te 0.0000 0.2566 0.7880
Te 0.5000 0.2301 0.2089
Te 0.0000 0.7434 0.2120
Pm 0.5000 0.5000 0.0000
Ho 0.0000 0.0000 0.0000
! * calculated volume: 294.1 Å³/f.u.
! * raw total energy: -35.297 eV/cell
! * symmetry: No. 10